# CeScZn | Alexandria via LeMat-Bulk | PBE | relaxed
data_CeScZn
_space_group_name_H-M_alt 'P -6 m 2'
_space_group_IT_number 187
_space_group_name_Hall 'P -6 2'
_cell_length_a 5.0048
_cell_length_b 5.0048
_cell_length_c 2.8580
_cell_angle_alpha 90.00
_cell_angle_beta 90.00
_cell_angle_gamma 120.00
loop_
_atom_site_label
_atom_site_fract_x
_atom_site_fract_y
_atom_site_fract_z
Ce1 0.0000 0.0000 0.0000
Sc1 0.3333 0.6667 0.0000
Zn1 0.6667 0.3333 0.5000
# ΔH_f (0 K): 0.04 eV/atom
# E_tot: -4.477 eV per atom
# polymorph energy (0 for the lowest one): 200 meV/atom